## Y2CdCoMo (PBE)

Data for a relaxed Y2CdCoMo crystal. Values from VASP.

Cell and atoms, written as Quantum ESPRESSO input:
```
&SYSTEM
  ibrav = 0, nat = 5, ntyp = 4
/
ATOMIC_SPECIES
Y 88.91 Y.upf
Mo 95.94 Mo.upf
Co 58.93 Co.upf
Cd 112.41 Cd.upf
ATOMIC_POSITIONS crystal
Y 0.000 0.000 0.500
Y 0.500 0.000 0.000
Mo 0.500 0.500 0.500
Co 0.000 0.000 0.000
Cd 0.000 0.500 0.000
CELL_PARAMETERS angstrom
5.015 0.000 0.000
0.000 4.946 0.000
0.000 0.000 5.015
```

Output
Symmetry ... No. 123
Volume ... 124 Å³ per cell
Formation energy ... 591 meV/atom

## Sm3ScPd12 (PBE)

Data for a relaxed Sm3ScPd12 crystal. Values from VASP.

Cell and atoms, written as Quantum ESPRESSO input:
```
&SYSTEM
  ibrav = 0, nat = 16, ntyp = 3
/
ATOMIC_SPECIES
Sm 150.36 Sm.upf
Sc 44.96 Sc.upf
Pd 106.42 Pd.upf
ATOMIC_POSITIONS crystal
Sm 0.000 0.000 0.244
Sm 0.000 0.000 0.500
Sm 0.000 0.000 0.756
Sc 0.000 0.000 0.000
Pd 0.500 0.500 0.000
Pd 0.500 0.500 0.245
Pd 0.500 0.500 0.500
Pd 0.500 0.500 0.755
Pd 0.500 0.000 0.116
Pd 0.500 0.000 0.372
Pd 0.500 0.000 0.628
Pd 0.500 0.000 0.884
Pd 0.000 0.500 0.116
Pd 0.000 0.500 0.372
Pd 0.000 0.500 0.628
Pd 0.000 0.500 0.884
CELL_PARAMETERS angstrom
-0.768 0.446 -4.038
3.678 -1.669 -0.884
-6.894 -15.012 -0.349
```

Output
Symmetry ... No. 123
Volume ... 282 Å³ per cell
Formation energy ... -812 meV/atom